Entry 1:
Nd3Sb4Pd7: relaxed, GGA-PBE.

The value obtained for the raw total energy is -5.660 eV/atom.

Cell and atoms, written as CIF:
```
data_Nd3Sb4Pd7
_chemical_formula_sum 'Nd6 Sb8 Pd14'
_cell_length_a 16.517
_cell_length_b 4.464
_cell_length_c 10.012
_cell_angle_alpha 90.00
_cell_angle_beta 126.97
_cell_angle_gamma 90.00
_space_group_name_H-M_alt 'C 1 2/m 1'
_space_group_IT_number 12
loop_
_space_group_symop_operation_xyz
'x,y,z'
'-x,-y,-z'
'-x,y,-z'
'x,-y,z'
'x+1/2,y+1/2,z'
'-x+1/2,-y+1/2,-z'
'-x+1/2,y+1/2,-z'
'x+1/2,-y+1/2,z'
loop_
_atom_site_label
_atom_site_type_symbol
_atom_site_fract_x
_atom_site_fract_y
_atom_site_fract_z
Nd1 Nd 0.000 0.000 0.000
Nd2 Nd 0.177 0.500 0.685
Sb1 Sb 0.118 0.000 0.394
Sb2 Sb 0.166 0.500 0.041
Pd1 Pd 0.000 0.000 0.500
Pd2 Pd 0.001 0.500 0.709
Pd3 Pd 0.137 0.000 0.867
Pd4 Pd 0.185 0.500 0.326
```

Entry 2:
ZnCuMoPb: relaxed, GGA-PBE.

The value obtained for the raw total energy is -4.182 eV/atom. For the energy above the most stable polymorph in this dataset, the calculation gives 0.0610 eV/atom.

Cell and atoms, written as CIF:
```
data_ZnCuMoPb
_chemical_formula_sum 'Zn4 Cu4 Mo4 Pb4'
_cell_length_a 6.619
_cell_length_b 6.619
_cell_length_c 6.619
_cell_angle_alpha 90.00
_cell_angle_beta 90.00
_cell_angle_gamma 90.00
_space_group_name_H-M_alt 'F -4 3 m'
_space_group_IT_number 216
_space_group_name_Hall 'F -4 2 3'
loop_
_atom_site_label
_atom_site_type_symbol
_atom_site_fract_x
_atom_site_fract_y
_atom_site_fract_z
Zn1 Zn 0.000 0.000 0.000
Cu1 Cu 0.000 0.000 0.500
Mo1 Mo 0.250 0.250 0.750
Pb1 Pb 0.250 0.250 0.250
```

Entry 3:
Li2Pd2O3: relaxed, GGA-PBE.

The value obtained for the raw total energy is -4.457 eV/atom. For the energy above the most stable polymorph in this dataset, the calculation gives 0.4173 eV/atom.

Cell and atoms, written as CIF:
```
data_Li2Pd2O3
_chemical_formula_sum 'Li6 Pd6 O9'
_cell_length_a 5.4442
_cell_length_b 5.4442
_cell_length_c 10.7074
_cell_angle_alpha 90.00
_cell_angle_beta 90.00
_cell_angle_gamma 120.00
_space_group_name_H-M_alt 'R -3 m'
_space_group_IT_number 166
_space_group_name_Hall '-R 3 2"'
loop_
_atom_site_label
_atom_site_type_symbol
_atom_site_fract_x
_atom_site_fract_y
_atom_site_fract_z
Li1 Li 0.0000 0.0000 0.0000
Li2 Li 0.0000 0.0000 0.5000
Pd1 Pd 0.0000 0.0000 0.2227
O1 O 0.0000 0.5000 0.0000
```

Entry 4:
Sm2Y2CIBr4: relaxed, GGA-PBE.

The value obtained for the raw total energy is -5.362 eV/atom. For the energy above the most stable polymorph in this dataset, the calculation gives 0.0000 eV/atom.

Cell and atoms, written as CIF:
```
data_Sm2Y2CIBr4
_chemical_formula_sum 'Sm4 Y4 C2 I2 Br8'
_cell_length_a 17.981
_cell_length_b 3.920
_cell_length_c 8.696
_cell_angle_alpha 90.00
_cell_angle_beta 103.29
_cell_angle_gamma 90.00
_space_group_name_H-M_alt 'C 1 2/m 1'
_space_group_IT_number 12
loop_
_space_group_symop_operation_xyz
'x,y,z'
'-x,-y,-z'
'-x,y,-z'
'x,-y,z'
'x+1/2,y+1/2,z'
'-x+1/2,-y+1/2,-z'
'-x+1/2,y+1/2,-z'
'x+1/2,-y+1/2,z'
loop_
_atom_site_label
_atom_site_type_symbol
_atom_site_fract_x
_atom_site_fract_y
_atom_site_fract_z
Sm1 Sm 0.001 0.000 0.306
Y1 Y 0.138 0.500 0.569
C1 C 0.000 0.500 0.500
I1 I 0.000 0.500 0.000
Br1 Br 0.167 0.000 0.816
Br2 Br 0.172 0.000 0.348
```

Entry 5:
TmMgNO: relaxed, GGA-PBE.

The value obtained for the raw total energy is -6.984 eV/atom. For the energy above the most stable polymorph in this dataset, the calculation gives 0.0000 eV/atom.

Cell and atoms, written as CIF:
```
data_TmMgNO
_chemical_formula_sum 'Tm2 Mg2 N2 O2'
_cell_length_a 4.644
_cell_length_b 4.644
_cell_length_c 4.468
_cell_angle_alpha 90.00
_cell_angle_beta 90.00
_cell_angle_gamma 90.00
_space_group_name_H-M_alt 'P 4/n m m'
_space_group_IT_number 129
loop_
_space_group_symop_operation_xyz
'x,y,z'
'-x,-y,-z'
'-y+1/2,x,z'
'y+1/2,-x,-z'
'-x+1/2,-y+1/2,z'
'x+1/2,y+1/2,-z'
'y,-x+1/2,z'
'-y,x+1/2,-z'
'x+1/2,-y,-z'
'-x+1/2,y,z'
'-y,-x,-z'
'y,x,z'
'-x,y+1/2,-z'
'x,-y+1/2,z'
'y+1/2,x+1/2,-z'
'-y+1/2,-x+1/2,z'
loop_
_atom_site_label
_atom_site_type_symbol
_atom_site_fract_x
_atom_site_fract_y
_atom_site_fract_z
Tm1 Tm 0.250 0.750 0.000
Mg1 Mg 0.250 0.250 0.499
N1 N 0.250 0.250 0.001
O1 O 0.250 0.750 0.500
```

Entry 6:
RbAgSb: relaxed, GGA-PBE.

The value obtained for the raw total energy is -2.515 eV/atom. For the energy above the most stable polymorph in this dataset, the calculation gives 0.0000 eV/atom.

Cell and atoms, written as CIF:
```
data_RbAgSb
_chemical_formula_sum 'Rb4 Ag4 Sb4'
_cell_length_a 7.398
_cell_length_b 7.398
_cell_length_c 7.398
_cell_angle_alpha 90.00
_cell_angle_beta 90.00
_cell_angle_gamma 90.00
_space_group_name_H-M_alt 'F -4 3 m'
_space_group_IT_number 216
_space_group_name_Hall 'F -4 2 3'
loop_
_atom_site_label
_atom_site_type_symbol
_atom_site_fract_x
_atom_site_fract_y
_atom_site_fract_z
Rb1 Rb 0.000 0.000 0.000
Ag1 Ag 0.250 0.250 0.250
Sb1 Sb 0.000 0.000 0.500
```

Entry 7:
CsBaPa: relaxed, GGA-PBE.

The value obtained for the raw total energy is -2.282 eV/atom. For the energy above the most stable polymorph in this dataset, the calculation gives 0.0043 eV/atom.

Cell and atoms, written as CIF:
```
data_CsBaPa
_chemical_formula_sum 'Cs4 Ba4 Pa4'
_cell_length_a 8.521
_cell_length_b 8.521
_cell_length_c 8.521
_cell_angle_alpha 90.00
_cell_angle_beta 90.00
_cell_angle_gamma 90.00
_space_group_name_H-M_alt 'F -4 3 m'
_space_group_IT_number 216
_space_group_name_Hall 'F -4 2 3'
loop_
_atom_site_label
_atom_site_type_symbol
_atom_site_fract_x
_atom_site_fract_y
_atom_site_fract_z
Cs1 Cs 0.000 0.000 0.000
Ba1 Ba 0.250 0.250 0.250
Pa1 Pa 0.000 0.000 0.500
```

Entry 8:
Pr3Ga2Ni2: relaxed, GGA-PBE.

The value obtained for the raw total energy is -4.992 eV/atom.

Cell and atoms, written as CIF:
```
data_Pr3Ga2Ni2
_chemical_formula_sum 'Pr12 Ga8 Ni8'
_cell_length_a 5.722
_cell_length_b 8.196
_cell_length_c 13.141
_cell_angle_alpha 90.00
_cell_angle_beta 90.00
_cell_angle_gamma 90.00
_space_group_name_H-M_alt 'P b c m'
_space_group_IT_number 57
loop_
_space_group_symop_operation_xyz
'x,y,z'
'-x,-y,-z'
'-x,-y,z+1/2'
'x,y,-z+1/2'
'x,-y+1/2,-z'
'-x,y+1/2,z'
'-x,y+1/2,-z+1/2'
'x,-y+1/2,z+1/2'
loop_
_atom_site_label
_atom_site_type_symbol
_atom_site_fract_x
_atom_site_fract_y
_atom_site_fract_z
Pr1 Pr 0.148 0.106 0.098
Pr2 Pr 0.351 0.747 0.750
Ga1 Ga 0.163 0.101 0.750
Ga2 Ga 0.357 0.750 0.000
Ni1 Ni 0.384 0.032 0.588
```

Entry 9:
CoIr2Os: relaxed, GGA-PBE.

The value obtained for the raw total energy is -8.515 eV/atom. The value obtained for the formation energy is 496 meV/atom.

Cell and atoms, written as CIF:
```
data_CoIr2Os
_chemical_formula_sum 'Co4 Ir8 Os4'
_cell_length_a 6.064
_cell_length_b 6.064
_cell_length_c 6.064
_cell_angle_alpha 90.00
_cell_angle_beta 90.00
_cell_angle_gamma 90.00
_space_group_name_H-M_alt 'F -4 3 m'
_space_group_IT_number 216
_space_group_name_Hall 'F -4 2 3'
loop_
_atom_site_label
_atom_site_type_symbol
_atom_site_fract_x
_atom_site_fract_y
_atom_site_fract_z
Co1 Co 0.000 0.000 0.000
Ir1 Ir 0.000 0.000 0.500
Ir2 Ir 0.250 0.250 0.250
Os1 Os 0.250 0.250 0.750
```

Entry 10:
POsPtO: relaxed, GGA-PBE.

The value obtained for the raw total energy is -7.146 eV/atom. For the energy above the most stable polymorph in this dataset, the calculation gives 0.0000 eV/atom.

Cell and atoms, written as CIF:
```
data_POsPtO
_chemical_formula_sum 'P2 Os2 Pt2 O2'
_cell_length_a 2.938
_cell_length_b 6.242
_cell_length_c 6.409
_cell_angle_alpha 90.00
_cell_angle_beta 90.00
_cell_angle_gamma 90.00
_space_group_name_H-M_alt 'P m c 21'
_space_group_IT_number 26
loop_
_space_group_symop_operation_xyz
'x,y,z'
'-x,-y,z+1/2'
'-x,y,z'
'x,-y,z+1/2'
loop_
_atom_site_label
_atom_site_type_symbol
_atom_site_fract_x
_atom_site_fract_y
_atom_site_fract_z
P1 P 0.000 0.147 0.000
Os1 Os 0.500 0.425 0.057
Pt1 Pt 0.000 0.183 0.653
O1 O 0.500 0.347 0.350
```

Entry 11:
CsEr2CuTeS3: relaxed, GGA-PBE.

The value obtained for the raw total energy is -5.183 eV/atom. For the energy above the most stable polymorph in this dataset, the calculation gives 0.0000 eV/atom.

Cell and atoms, written as CIF:
```
data_CsEr2CuTeS3
_chemical_formula_sum 'Cs4 Er8 Cu4 Te4 S12'
_cell_length_a 4.122
_cell_length_b 14.579
_cell_length_c 13.986
_cell_angle_alpha 90.00
_cell_angle_beta 90.00
_cell_angle_gamma 90.00
_space_group_name_H-M_alt 'C m c m'
_space_group_IT_number 63
_space_group_name_Hall '-C 2c 2'
loop_
_atom_site_label
_atom_site_type_symbol
_atom_site_fract_x
_atom_site_fract_y
_atom_site_fract_z
Cs1 Cs 0.000 0.099 0.250
Er1 Er 0.000 0.352 0.067
Cu1 Cu 0.000 0.173 0.750
Te1 Te 0.000 0.000 0.000
S1 S 0.000 0.260 0.606
S2 S 0.000 0.407 0.250
```

Entry 12:
CdReNO: relaxed, GGA-PBE.

The value obtained for the raw total energy is -6.893 eV/atom. For the energy above the most stable polymorph in this dataset, the calculation gives 0.0349 eV/atom.

Cell and atoms, written as CIF:
```
data_CdReNO
_chemical_formula_sum 'Cd2 Re2 N2 O2'
_cell_length_a 3.264
_cell_length_b 5.285
_cell_length_c 7.258
_cell_angle_alpha 90.00
_cell_angle_beta 90.00
_cell_angle_gamma 90.00
_space_group_name_H-M_alt 'P m c 21'
_space_group_IT_number 26
loop_
_space_group_symop_operation_xyz
'x,y,z'
'-x,-y,z+1/2'
'-x,y,z'
'x,-y,z+1/2'
loop_
_atom_site_label
_atom_site_type_symbol
_atom_site_fract_x
_atom_site_fract_y
_atom_site_fract_z
Cd1 Cd 0.000 0.128 0.000
Re1 Re 0.500 0.443 0.600
N1 N 0.000 0.260 0.638
O1 O 0.500 0.413 0.336
```

Question: Look up the raw total energy of the first one.
Answer: -5.660 eV/atom

Question: raw total energy of number 7 (CsBaPa)?
Answer: -2.282 eV/atom

Question: What is the raw total energy in the first record?
Answer: -5.660 eV/atom